A plane-wave DFT calculation with PBE-GGA was carried out for crystalline LaNdSm6Dy2 at its relaxed geometry.

Results
Total energy (Ry/atom): -0.33834
V (Å³ per cell): 686
Magnetization (μB per formula unit): 0.000
Mass density (g/cm³): 7.309

a = 9.756 Å, b = 8.937 Å, c = 8.937 Å
α = 117.35°, β = 93.88°, γ = 93.88°
Positions (direct):
Dy (0.047, 0.295, 0.196)
Sm (0.943, 0.888, 0.244)
Sm (0.880, 0.295, 0.512)
Sm (0.057, 0.112, 0.756)
Nd (0.750, 0.031, 0.969)
Sm (0.620, 0.488, 0.705)
Dy (0.547, 0.196, 0.295)
Sm (0.179, 0.566, 0.022)
La (0.250, 0.406, 0.594)
Sm (0.380, 0.512, 0.295)
La (0.750, 0.594, 0.406)
Dy (0.453, 0.804, 0.705)
Sm (0.679, 0.022, 0.566)
Sm (0.821, 0.434, 0.978)
Sm (0.321, 0.978, 0.434)
Dy (0.953, 0.705, 0.804)
Nd (0.250, 0.969, 0.031)
Sm (0.443, 0.244, 0.888)
Sm (0.557, 0.756, 0.112)
Sm (0.120, 0.705, 0.488)